DFT (PBE-GGA) results for a relaxed structure of NdCu2Si.

Cell lengths 4.0942, 4.0942, 5.5110 Å; angles 68.19, 68.19, 60.00 degrees
Atoms (fractional coordinates):
Si 0.5000 0.5000 0.5000
Nd 0.0000 0.0000 0.0000
Cu 0.7982 0.7982 0.6054
Cu 0.2018 0.2018 0.3946

Computed properties:
Theoretical density: 6.9 g cm⁻³
Magnetic moment: 0.0 μB/f.u.
Formation energy from raw total energies: -0.379 eV/atom
Raw total energy: -19.9 eV for the cell shown


DFT (PBE-GGA) results for a relaxed structure of Nd2Cu15Si2.

Cell lengths 6.5170, 6.5170, 6.5170 Å; angles 83.30, 83.30, 83.30 degrees
Atoms (fractional coordinates):
Nd 0.3440 0.3440 0.3440
Nd 0.6560 0.6560 0.6560
Cu 0.5000 0.0000 0.0000
Cu 0.0000 0.0000 0.5000
Cu 0.0000 0.5000 0.0000
Cu 0.0000 0.7012 0.2988
Cu 0.7012 0.2988 0.0000
Cu 0.2988 0.0000 0.7012
Cu 0.2988 0.7012 0.0000
Cu 0.7012 0.0000 0.2988
Cu 0.0000 0.2988 0.7012
Cu 0.1516 0.6581 0.6581
Cu 0.6581 0.6581 0.1516
Cu 0.6581 0.1516 0.6581
Cu 0.8484 0.3419 0.3419
Cu 0.3419 0.3419 0.8484
Cu 0.3419 0.8484 0.3419
Si 0.0963 0.0963 0.0963
Si 0.9037 0.9037 0.9037

Computed properties:
Theoretical density: 7.9 g cm⁻³
Magnetic moment: 0.0 μB/f.u.
Formation energy from raw total energies: -0.121 eV/atom
Raw total energy: -84.1 eV for the cell shown


DFT (PBE-GGA) results for a relaxed structure of NdCu3Si2.

Cell lengths 3.9829, 7.6940, 7.1895 Å; angles 113.87, 90.00, 105.00 degrees
Atoms (fractional coordinates):
Nd 0.8482 0.6965 0.9271
Nd 0.1518 0.3035 0.0729
Cu 0.3156 0.6312 0.5526
Cu 0.9653 0.9305 0.6322
Cu 0.5957 0.1913 0.6760
Cu 0.4043 0.8087 0.3240
Cu 0.0347 0.0695 0.3678
Cu 0.6844 0.3688 0.4474
Si 0.4802 0.9605 0.8233
Si 0.5198 0.0395 0.1767
Si 0.8124 0.6249 0.3265
Si 0.1876 0.3751 0.6735

Computed properties:
Theoretical density: 6.7 g cm⁻³
Magnetic moment: 0.0 μB/f.u.
Formation energy from raw total energies: -0.441 eV/atom
Raw total energy: -61.1 eV for the cell shown


DFT (PBE-GGA) results for a relaxed structure of NdCuSi.

Cell lengths 4.2227, 4.2227, 7.9087 Å; angles 90.00, 90.00, 120.00 degrees
Atoms (fractional coordinates):
Si 0.3333 0.6667 0.7500
Si 0.6667 0.3333 0.2500
Nd 0.0000 0.0000 0.5000
Nd 0.0000 0.0000 0.0000
Cu 0.6667 0.3333 0.7500
Cu 0.3333 0.6667 0.2500

Computed properties:
Theoretical density: 6.4 g cm⁻³
Magnetic moment: 0.0 μB/f.u.
Formation energy from raw total energies: -0.618 eV/atom
Raw total energy: -32.3 eV for the cell shown


DFT (PBE-GGA) results for a relaxed structure of NdSmCuSi.

Cell lengths 5.0814, 5.0814, 5.0814 Å; angles 60.00, 60.00, 60.00 degrees
Atoms (fractional coordinates):
Si 0.7500 0.7500 0.7500
Nd 0.5000 0.5000 0.5000
Cu 0.2500 0.2500 0.2500
Sm 0.0000 0.0000 0.0000

Computed properties:
Theoretical density: 6.9 g cm⁻³
Magnetic moment: 0.0 μB/f.u.
Formation energy from raw total energies: -0.378 eV/atom
Raw total energy: -20.5 eV for the cell shown


DFT (PBE-GGA) results for a relaxed structure of NdSmCuSi.

Cell lengths 4.1876, 4.1537, 5.8852 Å; angles 90.00, 110.84, 90.00 degrees
Atoms (fractional coordinates):
Nd 0.8553 0.5000 0.7106
Sm 0.1376 0.0000 0.2752
Cu 0.4393 0.0000 0.8786
Si 0.5678 0.5000 0.1356

Computed properties:
Theoretical density: 6.7 g cm⁻³
Magnetic moment: 0.2 μB/f.u.
Formation energy from raw total energies: -0.465 eV/atom
Raw total energy: -20.9 eV for the cell shown


DFT (PBE-GGA) results for a relaxed structure of NdSm2Cu2Si2.

Cell lengths 4.2418, 4.2418, 10.1500 Å; angles 77.94, 77.94, 60.00 degrees
Atoms (fractional coordinates):
Nd 0.0000 0.0000 0.0000
Sm 0.1260 0.1260 0.6221
Sm 0.8740 0.8740 0.3779
Cu 0.5992 0.5992 0.2024
Cu 0.4008 0.4008 0.7976
Si 0.7353 0.7353 0.7942
Si 0.2647 0.2647 0.2058

Computed properties:
Theoretical density: 6.8 g cm⁻³
Magnetic moment: 0.0 μB/f.u.
Formation energy from raw total energies: -0.471 eV/atom
Raw total energy: -36.5 eV for the cell shown


DFT (PBE-GGA) results for a relaxed structure of SrNdCuSi.

Cell lengths 5.2221, 5.2221, 5.2221 Å; angles 60.00, 60.00, 60.00 degrees
Atoms (fractional coordinates):
Sr 0.5000 0.5000 0.5000
Si 0.7500 0.7500 0.7500
Nd 0.0000 0.0000 0.0000
Cu 0.2500 0.2500 0.2500

Computed properties:
Theoretical density: 5.3 g cm⁻³
Magnetic moment: 0.0 μB/f.u.
Formation energy from raw total energies: -0.244 eV/atom
Raw total energy: -16.9 eV for the cell shown


DFT (PBE-GGA) results for a relaxed structure of SrNdCu2Si2.

Cell lengths 4.1624, 4.1624, 8.6613 Å; angles 90.00, 90.00, 120.00 degrees
Atoms (fractional coordinates):
Sr 0.0000 0.0000 0.5000
Nd 0.0000 0.0000 0.0000
Cu 0.6667 0.3333 0.7638
Cu 0.3333 0.6667 0.2362
Si 0.6667 0.3333 0.2333
Si 0.3333 0.6667 0.7667

Computed properties:
Theoretical density: 5.3 g cm⁻³
Magnetic moment: 0.0 μB/f.u.
Formation energy from raw total energies: -0.490 eV/atom
Raw total energy: -28.4 eV for the cell shown


DFT (PBE-GGA) results for a relaxed structure of SrNd2Cu2Si2.

Cell lengths 4.3501, 4.3501, 10.3255 Å; angles 77.84, 77.84, 60.00 degrees
Atoms (fractional coordinates):
Sr 0.0000 0.0000 0.0000
Nd 0.1274 0.1274 0.6180
Nd 0.8726 0.8726 0.3820
Cu 0.5935 0.5935 0.2195
Cu 0.4065 0.4065 0.7805
Si 0.7426 0.7426 0.7721
Si 0.2574 0.2574 0.2279

Computed properties:
Theoretical density: 5.7 g cm⁻³
Magnetic moment: 0.0 μB/f.u.
Formation energy from raw total energies: -0.397 eV/atom
Raw total energy: -33.0 eV for the cell shown


DFT (PBE-GGA) results for a relaxed structure of Tb2NdCu2Si2.

Cell lengths 4.2317, 4.2317, 9.8962 Å; angles 77.65, 77.65, 60.00 degrees
Atoms (fractional coordinates):
Tb 0.1269 0.1269 0.6192
Tb 0.8731 0.8731 0.3808
Nd 0.0000 0.0000 0.0000
Cu 0.5971 0.5971 0.2087
Cu 0.4029 0.4029 0.7913
Si 0.7383 0.7383 0.7852
Si 0.2617 0.2617 0.2148

Computed properties:
Theoretical density: 7.2 g cm⁻³
Magnetic moment: 0.0 μB/f.u.
Formation energy from raw total energies: -0.482 eV/atom
Raw total energy: -36.4 eV for the cell shown


DFT (PBE-GGA) results for a relaxed structure of TbNd2Cu2Si2.

Cell lengths 4.1145, 4.1145, 11.2559 Å; angles 79.47, 79.47, 60.00 degrees
Each line ends with the local moment (μB).
Atoms (fractional coordinates):
Tb 0.0000 0.0000 0.0000  0.03
Nd 0.1187 0.1187 0.6440  0.12
Nd 0.8813 0.8813 0.3560  0.12
Cu 0.6083 0.6083 0.1751  0.00
Cu 0.3917 0.3917 0.8249  0.00
Si 0.7254 0.7254 0.8238  0.00
Si 0.2746 0.2746 0.1762  0.00

Computed properties:
Theoretical density: 6.5 g cm⁻³
Magnetic moment: 0.8 μB/f.u.
Formation energy from raw total energies: -0.492 eV/atom
Raw total energy: -36.6 eV for the cell shown